Entry 1:
A relaxed MnCd crystal, computed with PBE.

## Properties
- DFT formation energy: 0.504 eV/atom
- Symmetry: No. 194
- Fermi-level density of states: 0.978 states/eV/atom

POSCAR file:
```
MnCd
1.0
7.757 0.000 0.000
-3.879 6.718 0.000
0.000 0.000 3.904
Mn Cd
6 6
direct
0.126 0.563 0.250
0.437 0.563 0.250
0.437 0.874 0.250
0.563 0.126 0.750
0.563 0.437 0.750
0.874 0.437 0.750
0.168 0.337 0.750
0.168 0.832 0.750
0.337 0.168 0.250
0.663 0.832 0.750
0.832 0.168 0.250
0.832 0.663 0.250
```

---

Entry 2:
A relaxed CaPmNd3 crystal, computed with PBE.

## Properties
- DFT formation energy: 0.353 eV/atom
- Symmetry: No. 148
- Fermi-level density of states: 1.676 states/eV/atom
- Distance to the lowest polymorph of the same formula: 191 meV per atom

POSCAR file:
```
CaPmNd3
1.0
3.111 1.796 11.967
-3.111 1.796 11.967
0.000 -3.592 11.967
Ca Pm Nd
2 2 6
direct
0.166 0.166 0.166
0.834 0.834 0.834
0.334 0.334 0.334
0.666 0.666 0.666
0.083 0.747 0.409
0.253 0.591 0.917
0.409 0.083 0.747
0.591 0.917 0.253
0.747 0.409 0.083
0.917 0.253 0.591
```

---

Entry 3:
A relaxed CaBe4Sb3O12 crystal, computed with PBE.

## Properties
- Symmetry: No. 155
- Fermi-level density of states: 0.193 states/eV/atom
- Formation energy from raw total energies: -2.01 eV/atom

POSCAR file:
```
CaBe4Sb3O12
1.0
5.097 2.943 2.586
-5.097 2.943 2.586
0.000 -5.885 2.586
Ca Be Sb O
1 4 3 12
direct
0.000 0.000 0.000
0.058 0.500 0.942
0.500 0.500 0.500
0.500 0.942 0.058
0.942 0.058 0.500
0.000 0.549 0.451
0.451 0.000 0.549
0.549 0.451 0.000
0.025 0.636 0.778
0.098 0.902 0.500
0.222 0.364 0.975
0.348 0.652 0.500
0.364 0.975 0.222
0.500 0.098 0.902
0.500 0.348 0.652
0.636 0.778 0.025
0.652 0.500 0.348
0.778 0.025 0.636
0.902 0.500 0.098
0.975 0.222 0.364
```